## P
DFT (GGA-PBE) results for an optimized crystal structure of TbDy3Er2.

a = 7.1144 Å, b = 10.0882 Å, c = 7.1101 Å
α = 79.83°, β = 120.00°, γ = 121.93°
Sites, in units of the cell vectors:
Tb 0.2508 0.0005 0.2503
Tb 0.7492 0.9995 0.7497
Dy 0.2508 0.0005 0.7504
Dy 0.7492 0.9995 0.2496
Dy 0.8046 0.6653 0.8609
Dy 0.1953 0.3345 0.6391
Dy 0.8047 0.6655 0.3609
Dy 0.1954 0.3347 0.1391
Er 0.3041 0.6656 0.3605
Er 0.3042 0.6658 0.8606
Er 0.6958 0.3342 0.1394
Er 0.6959 0.3344 0.6395

Calculated values
Density of states at the Fermi level   14.4 states/eV/cell
Spin magnetization   0.00 Bohr magnetons per cell
Space group   No. 2

## Q
DFT (GGA-PBE) results for an optimized crystal structure of TbDy3Er2.

a = 5.5886 Å, b = 8.8649 Å, c = 9.6246 Å
α = 122.86°, β = 90.00°, γ = 108.30°
Sites, in units of the cell vectors:
Tb 0.8752 0.7504 0.8772
Tb 0.1248 0.2496 0.1228
Dy 0.2498 0.4997 0.5810
Dy 0.9998 0.9996 0.6661
Dy 0.6252 0.2505 0.6273
Dy 0.3748 0.7495 0.3727
Dy 0.0002 0.0004 0.3339
Dy 0.7502 0.5003 0.4190
Er 0.4999 0.9999 0.8326
Er 0.5001 0.0001 0.1674
Er 0.7502 0.5005 0.0851
Er 0.2498 0.4995 0.9149

Calculated values
Density of states at the Fermi level   20.7 states/eV/cell
Spin magnetization   0.00 Bohr magnetons per cell
Space group   No. 2

Which one sits at the bottom of the stability order? Q does.

## P
DFT (GGA-PBE) results for an optimized crystal structure of Tb3Dy4Er8.

a = 6.6588 Å, b = 9.1796 Å, c = 9.1796 Å
α = 87.84°, β = 111.22°, γ = 111.22°
Sites, in units of the cell vectors:
Tb 0.5000 0.5000 0.0000
Tb 0.5000 0.0000 0.5000
Tb 0.5000 0.5000 0.5000
Dy 0.5000 0.0000 0.0000
Dy 0.0000 0.5000 0.0000
Dy 0.0000 0.0000 0.0000
Dy 0.0000 0.0000 0.5000
Er 0.5329 0.2673 0.2673
Er 0.0000 0.6397 0.3603
Er 0.0099 0.2650 0.2650
Er 0.5000 0.7476 0.2524
Er 0.5000 0.2524 0.7476
Er 0.9901 0.7350 0.7350
Er 0.0000 0.3603 0.6397
Er 0.4671 0.7327 0.7327

Calculated values
Density of states at the Fermi level   29.4 states/eV/cell
Spin magnetization   0.00 Bohr magnetons per cell
Space group   No. 12

## Q
DFT (GGA-PBE) results for an optimized crystal structure of Tb3Dy4Er8.

a = 6.8650 Å, b = 6.8650 Å, c = 12.2852 Å
α = 73.78°, β = 73.78°, γ = 60.00°
Sites, in units of the cell vectors:
Tb 0.5000 0.0000 0.5000
Tb 0.0000 0.0000 0.5000
Tb 0.0000 0.5000 0.5000
Dy 0.0000 0.0000 0.0000
Dy 0.3364 0.3364 0.9907
Dy 0.5000 0.5000 0.5000
Dy 0.6636 0.6636 0.0093
Er 0.2454 0.2454 0.2639
Er 0.2484 0.7505 0.2506
Er 0.7505 0.7505 0.2506
Er 0.7505 0.2484 0.2506
Er 0.7546 0.7546 0.7361
Er 0.7516 0.2495 0.7494
Er 0.2495 0.2495 0.7494
Er 0.2495 0.7516 0.7494

Calculated values
Density of states at the Fermi level   22.0 states/eV/cell
Spin magnetization   0.00 Bohr magnetons per cell
Space group   No. 166

Which one sits at the bottom of the stability order? P does.

## P
DFT (GGA-PBE) results for an optimized crystal structure of TbDy3Er5.

a = 9.3926 Å, b = 9.3926 Å, c = 11.4437 Å
α = 52.82°, β = 52.82°, γ = 73.68°
Sites, in units of the cell vectors:
Tb 0.1500 0.1500 0.5994
Tb 0.8500 0.8500 0.4006
Dy 0.6960 0.6960 0.8132
Dy 0.6580 0.6580 0.3633
Dy 0.0000 0.0000 0.0000
Dy 0.0000 0.0000 0.5000
Dy 0.3040 0.3040 0.1868
Dy 0.3420 0.3420 0.6367
Er 0.8499 0.3481 0.2502
Er 0.2598 0.7402 0.0000
Er 0.8153 0.8153 0.9618
Er 0.4914 0.4914 0.2293
Er 0.5086 0.5086 0.7707
Er 0.1847 0.1847 0.0382
Er 0.3481 0.8499 0.2502
Er 0.7402 0.2598 0.0000
Er 0.1501 0.6519 0.7498
Er 0.6519 0.1501 0.7498

Calculated values
Density of states at the Fermi level   23.9 states/eV/cell
Spin magnetization   0.00 Bohr magnetons per cell
Space group   No. 12

## Q
DFT (GGA-PBE) results for an optimized crystal structure of TbDy3Er5.

a = 9.1550 Å, b = 10.3984 Å, c = 7.1432 Å
α = 110.09°, β = 90.00°, γ = 116.12°
Sites, in units of the cell vectors:
Tb 0.7004 0.0000 0.7500
Tb 0.2996 0.0000 0.2500
Dy 0.0000 0.0000 0.0000
Dy 0.8131 0.6234 0.5616
Dy 0.0000 0.0000 0.5000
Dy 0.1869 0.3766 0.4384
Dy 0.8102 0.6234 0.0616
Dy 0.1898 0.3766 0.9384
Er 0.3424 0.0000 0.7500
Er 0.5194 0.6760 0.8361
Er 0.8433 0.3240 0.1599
Er 0.4806 0.3240 0.1639
Er 0.5193 0.6760 0.3401
Er 0.6576 0.0000 0.2500
Er 0.1567 0.6760 0.3361
Er 0.8433 0.3240 0.6639
Er 0.4807 0.3240 0.6599
Er 0.1567 0.6760 0.8401

Calculated values
Density of states at the Fermi level   23.6 states/eV/cell
Spin magnetization   0.00 Bohr magnetons per cell
Space group   No. 74

Which one sits at the bottom of the stability order? P does.

## P
DFT (GGA-PBE) results for an optimized crystal structure of Tb2Dy3Er8.

a = 4.9705 Å, b = 7.8657 Å, c = 10.5320 Å
α = 85.81°, β = 103.64°, γ = 89.91°
Sites, in units of the cell vectors:
Tb 0.7693 0.8460 0.5383
Tb 0.2307 0.1540 0.4617
Dy 0.0000 0.0000 0.0000
Dy 0.4614 0.3075 0.9229
Dy 0.5386 0.6925 0.0771
Er 0.0767 0.3852 0.1535
Er 0.9233 0.6148 0.8465
Er 0.1540 0.7682 0.3079
Er 0.8460 0.2318 0.6921
Er 0.3848 0.9227 0.7695
Er 0.3077 0.5392 0.6152
Er 0.6923 0.4608 0.3848
Er 0.6152 0.0773 0.2305

Calculated values
Density of states at the Fermi level   17.3 states/eV/cell
Spin magnetization   0.00 Bohr magnetons per cell
Space group   No. 2

## Q
DFT (GGA-PBE) results for an optimized crystal structure of Tb2Dy3Er8.

a = 5.5302 Å, b = 7.5303 Å, c = 10.7786 Å
α = 110.47°, β = 90.00°, γ = 90.00°
Sites, in units of the cell vectors:
Tb 0.4999 0.2411 0.4825
Tb 0.5001 0.7589 0.5175
Dy 0.5000 0.0000 0.0000
Dy 0.0000 0.2857 0.0001
Dy 0.0000 0.7143 0.9999
Er 0.0001 0.6664 0.3324
Er 0.9999 0.3336 0.6676
Er 0.0000 0.1323 0.2648
Er 0.0000 0.8677 0.7352
Er 0.5000 0.6038 0.7830
Er 0.5000 0.1790 0.7829
Er 0.5000 0.8210 0.2172
Er 0.5000 0.3962 0.2170

Calculated values
Density of states at the Fermi level   22.9 states/eV/cell
Spin magnetization   0.00 Bohr magnetons per cell
Space group   No. 65

Which one sits at the bottom of the stability order? Q does.

## P
DFT (GGA-PBE) results for an optimized crystal structure of TbDy2Er9.

a = 3.4665 Å, b = 11.0905 Å, c = 11.0905 Å
α = 120.00°, β = 90.00°, γ = 90.00°
Sites, in units of the cell vectors:
Tb 0.0000 0.0000 0.0000
Dy 0.0000 0.3333 0.6667
Dy 0.0000 0.6667 0.3333
Er 0.0000 0.0000 0.5000
Er 0.0000 0.5000 0.5000
Er 0.0000 0.5000 0.0000
Er 0.5000 0.3533 0.1767
Er 0.5000 0.1767 0.8233
Er 0.5000 0.1767 0.3533
Er 0.5000 0.8233 0.6467
Er 0.5000 0.8233 0.1767
Er 0.5000 0.6467 0.8233

Calculated values
Density of states at the Fermi level   18.7 states/eV/cell
Spin magnetization   0.00 Bohr magnetons per cell
Space group   No. 191

## Q
DFT (GGA-PBE) results for an optimized crystal structure of TbDy2Er9.

a = 4.9633 Å, b = 4.9633 Å, c = 14.8845 Å
α = 90.00°, β = 90.00°, γ = 90.00°
Sites, in units of the cell vectors:
Tb 0.0000 0.0000 0.0000
Dy 0.0000 0.0000 0.3335
Dy 0.0000 0.0000 0.6665
Er 0.5000 0.5000 0.0000
Er 0.5000 0.5000 0.3336
Er 0.5000 0.5000 0.6664
Er 0.5000 0.0000 0.1670
Er 0.5000 0.0000 0.5000
Er 0.5000 0.0000 0.8330
Er 0.0000 0.5000 0.1670
Er 0.0000 0.5000 0.5000
Er 0.0000 0.5000 0.8330

Calculated values
Density of states at the Fermi level   17.0 states/eV/cell
Spin magnetization   0.00 Bohr magnetons per cell
Space group   No. 123

Which one sits at the bottom of the stability order? P does.

## P
DFT (GGA-PBE) results for an optimized crystal structure of Tb2DyEr6.

a = 4.9761 Å, b = 10.5348 Å, c = 10.5343 Å
α = 90.00°, β = 89.99°, γ = 90.00°
Sites, in units of the cell vectors:
Tb 0.0000 0.3334 0.8333
Tb 0.5000 0.8333 0.6666
Tb 0.5000 0.1667 0.3334
Tb 0.0000 0.6666 0.1667
Dy 0.5000 0.5000 0.0000
Dy 0.0000 0.0000 0.5000
Er 0.0000 0.0004 0.1662
Er 0.0000 0.6662 0.5004
Er 0.0000 0.6670 0.8329
Er 0.5000 0.1671 0.6671
Er 0.5000 0.1662 0.9996
Er 0.5000 0.5004 0.3338
Er 0.0000 0.9996 0.8338
Er 0.0000 0.3338 0.4996
Er 0.0000 0.3330 0.1671
Er 0.5000 0.8329 0.3329
Er 0.5000 0.8338 0.0004
Er 0.5000 0.4996 0.6662

Calculated values
Density of states at the Fermi level   22.5 states/eV/cell
Spin magnetization   0.00 Bohr magnetons per cell
Space group   No. 136

## Q
DFT (GGA-PBE) results for an optimized crystal structure of Tb2DyEr6.

a = 6.4838 Å, b = 9.4554 Å, c = 9.4554 Å
α = 95.93°, β = 80.79°, γ = 80.79°
Sites, in units of the cell vectors:
Tb 0.1300 0.6175 0.6660
Tb 0.3700 0.3340 0.3825
Tb 0.8700 0.3825 0.3340
Tb 0.6300 0.6660 0.6175
Dy 0.2500 0.1196 0.8804
Dy 0.7500 0.8804 0.1196
Er 0.5030 0.6499 0.2778
Er 0.9970 0.7222 0.3501
Er 0.4970 0.3501 0.7222
Er 0.0030 0.2778 0.6499
Er 0.7286 0.0601 0.4616
Er 0.7714 0.5384 0.9399
Er 0.2714 0.9399 0.5384
Er 0.2286 0.4616 0.0601
Er 0.3161 0.7783 0.9542
Er 0.1839 0.0458 0.2217
Er 0.6839 0.2217 0.0458
Er 0.8161 0.9542 0.7783

Calculated values
Density of states at the Fermi level   22.0 states/eV/cell
Spin magnetization   0.00 Bohr magnetons per cell
Space group   No. 15

Which one sits at the bottom of the stability order? Q does.

## P
DFT (GGA-PBE) results for an optimized crystal structure of TbDy12Er6.

a = 8.4600 Å, b = 8.4600 Å, c = 8.4600 Å
α = 88.38°, β = 88.38°, γ = 88.38°
Sites, in units of the cell vectors:
Tb 0.0000 0.0000 0.0000
Dy 0.7755 0.5421 0.4348
Dy 0.4348 0.7755 0.5421
Dy 0.5421 0.4348 0.7755
Dy 0.2245 0.4579 0.5652
Dy 0.5652 0.2245 0.4579
Dy 0.4579 0.5652 0.2245
Dy 0.0114 0.2045 0.3577
Dy 0.7955 0.6423 0.9886
Dy 0.6423 0.9886 0.7955
Dy 0.9886 0.7955 0.6423
Dy 0.2045 0.3577 0.0114
Dy 0.3577 0.0114 0.2045
Er 0.7426 0.9059 0.3080
Er 0.6921 0.2574 0.0941
Er 0.0941 0.6921 0.2574
Er 0.2574 0.0941 0.6921
Er 0.3080 0.7426 0.9059
Er 0.9059 0.3080 0.7426

Calculated values
Density of states at the Fermi level   33.1 states/eV/cell
Spin magnetization   0.00 Bohr magnetons per cell
Space group   No. 148

## Q
DFT (GGA-PBE) results for an optimized crystal structure of TbDy12Er6.

a = 9.2582 Å, b = 9.2582 Å, c = 9.2582 Å
α = 107.96°, β = 107.96°, γ = 107.96°
Sites, in units of the cell vectors:
Tb 0.0000 0.0000 0.0000
Dy 0.8894 0.1106 0.5000
Dy 0.3623 0.1452 0.3623
Dy 0.3623 0.3623 0.1452
Dy 0.8548 0.6377 0.6377
Dy 0.6377 0.6377 0.8548
Dy 0.6377 0.8548 0.6377
Dy 0.5000 0.8894 0.1106
Dy 0.1106 0.5000 0.8894
Dy 0.1106 0.8894 0.5000
Dy 0.5000 0.1106 0.8894
Dy 0.8894 0.5000 0.1106
Dy 0.1452 0.3623 0.3623
Er 0.6838 0.2639 0.6838
Er 0.6838 0.6838 0.2639
Er 0.2639 0.6838 0.6838
Er 0.3162 0.3162 0.7361
Er 0.3162 0.7361 0.3162
Er 0.7361 0.3162 0.3162

Calculated values
Density of states at the Fermi level   24.6 states/eV/cell
Spin magnetization   0.00 Bohr magnetons per cell
Space group   No. 166

Which one sits at the bottom of the stability order? Q does.

## P
DFT (GGA-PBE) results for an optimized crystal structure of TbDy5Er2.

a = 4.9827 Å, b = 7.0580 Å, c = 14.1156 Å
α = 90.00°, β = 90.00°, γ = 90.00°
Sites, in units of the cell vectors:
Tb 0.0000 0.0000 0.5000
Tb 0.0000 0.5000 0.0000
Dy 0.0000 0.0000 0.0000
Dy 0.0000 0.5000 0.5000
Dy 0.0000 0.5000 0.7498
Dy 0.0000 0.5000 0.2502
Dy 0.0000 0.0000 0.2498
Dy 0.0000 0.0000 0.7502
Dy 0.5000 0.2499 0.8749
Dy 0.5000 0.7501 0.1251
Dy 0.5000 0.2501 0.3749
Dy 0.5000 0.7499 0.6251
Er 0.5000 0.2500 0.6251
Er 0.5000 0.7500 0.3749
Er 0.5000 0.2500 0.1251
Er 0.5000 0.7500 0.8749

Calculated values
Density of states at the Fermi level   18.5 states/eV/cell
Spin magnetization   0.00 Bohr magnetons per cell
Space group   No. 55

## Q
DFT (GGA-PBE) results for an optimized crystal structure of TbDy5Er2.

a = 8.7328 Å, b = 8.4097 Å, c = 11.1559 Å
α = 89.99°, β = 89.98°, γ = 38.76°
Sites, in units of the cell vectors:
Tb 0.5014 0.8465 0.7501
Tb 0.4986 0.1535 0.2499
Dy 0.6653 0.0437 0.9237
Dy 0.6649 0.0439 0.5760
Dy 0.1989 0.6805 0.4228
Dy 0.1987 0.6806 0.0772
Dy 0.7672 0.3135 0.2501
Dy 0.2328 0.6865 0.7499
Dy 0.8011 0.3195 0.5772
Dy 0.8013 0.3194 0.9228
Dy 0.3347 0.9563 0.0763
Dy 0.3351 0.9561 0.4240
Er 0.8893 0.5757 0.3828
Er 0.8888 0.5760 0.1171
Er 0.1107 0.4243 0.6172
Er 0.1112 0.4240 0.8829

Calculated values
Density of states at the Fermi level   25.0 states/eV/cell
Spin magnetization   0.00 Bohr magnetons per cell
Space group   No. 11

Which one sits at the bottom of the stability order? Q does.